# 1
LaTcTe2, relaxed, DFT GGA-PBE; total energy = -5.223 eV per atom; energy relative to the lowest polymorph listed for this composition = 965 meV/atom
1.0
-1.136 -0.213 -5.084
-1.882 -4.401 -2.069
-4.972 -0.233 -1.553
Te Tc La
2 1 1
Cartesian
0.000 0.000 0.000
-1.997 -1.211 -2.177
-5.992 -3.634 -6.530
-3.995 -2.423 -4.353

=====

# 2
Li5Bi3Pb2, relaxed, DFT GGA-PBE; total energy = -3.106 eV per atom; DFT formation energy = -0.24 eV/atom
1.0
-2.452 4.558 3.757
1.903 -2.001 9.128
6.636 6.619 1.758
Pb Li Bi
4 10 6
Cartesian
4.867 3.508 9.926
4.886 8.056 9.865
1.201 1.120 4.779
1.221 5.668 4.717
5.109 6.139 12.334
0.978 3.037 2.310
-1.112 3.742 5.534
2.362 1.091 8.398
3.663 3.460 6.372
1.206 3.496 10.169
3.725 8.085 6.246
4.882 5.680 4.475
7.200 5.434 9.109
2.424 5.716 8.271
3.451 3.494 3.383
0.116 1.511 11.866
5.972 7.665 2.778
5.212 5.860 7.281
2.637 5.682 11.260
0.876 3.317 7.362

=====

# 3
Nb4VGe3, relaxed, DFT GGA-PBE; total energy = -8.403 eV per atom; DFT formation energy = -0.50 eV/atom
1.0
4.761 0.000 1.686
2.380 7.181 0.843
-0.017 0.000 7.613
Ge Nb V
6 8 2
Cartesian
3.562 5.864 5.071
1.190 0.000 0.422
5.184 3.591 8.057
3.562 1.318 5.071
1.941 3.591 2.085
3.571 0.000 1.265
2.711 5.011 7.476
4.414 5.011 2.665
0.708 1.039 5.567
2.711 2.170 7.476
5.469 6.142 7.253
6.417 6.142 4.575
1.656 1.039 2.889
4.414 2.170 2.665
2.372 3.591 4.649
4.753 3.591 5.492

=====

# 4
CaYBeN2, relaxed, DFT GGA-PBE; total energy = -6.651 eV per atom
1.0
-3.972 -1.249 2.797
-0.203 -4.600 -2.342
3.980 -2.486 4.541
N Be Ca Y
4 2 2 2
Cartesian
-1.254 -3.318 3.977
0.628 -7.021 4.996
-0.822 -1.314 0.001
1.059 -5.017 1.019
0.000 0.000 0.000
1.990 -1.243 2.271
-0.990 -1.246 2.534
0.999 -2.489 4.805
2.883 -4.165 2.235
-3.078 -4.170 2.761

=====

# 5
Nd3UIn3Se8, relaxed, DFT GGA-PBE; total energy = -5.369 eV per atom
1.0
8.507 0.000 0.000
-4.254 7.367 -0.032
0.000 -4.883 7.765
Se Nd In U
8 3 3 1
Cartesian
0.000 2.462 2.192
2.035 -1.274 2.266
4.254 2.569 2.249
-2.219 3.758 5.467
4.254 0.022 5.541
0.000 -0.085 5.484
6.472 -1.274 2.266
2.219 3.758 5.467
-2.127 1.242 3.867
4.254 -2.441 3.882
2.127 1.242 3.867
2.127 3.684 -0.016
0.000 0.000 0.000
-2.127 3.684 -0.016
0.000 -2.441 3.882

=====

# 6
AsOs, relaxed, DFT GGA-PBE; total energy = -7.650 eV per atom; DFT formation energy = 0.29 eV/atom
1.0
-2.939 -2.740 -2.002
-0.223 -2.673 -3.599
1.689 -7.153 2.572
Os As
3 3
Cartesian
-1.914 -9.788 -3.664
-0.339 -4.312 -0.757
-0.863 -1.488 -1.530
-1.098 -8.094 -2.205
-1.550 -5.139 -2.851
1.594 -6.781 2.426

=====

# 7
HgC2, relaxed, DFT GGA-PBE; total energy = -4.085 eV per atom; DFT formation energy = 2.16 eV/atom; energy relative to the lowest polymorph listed for this composition = 1627 meV/atom
1.0
2.109 1.283 4.566
-1.664 4.770 1.191
-2.643 -4.235 -1.421
C Hg
4 2
Cartesian
-2.007 2.269 1.788
0.258 3.514 3.343
0.187 2.539 2.415
-2.078 1.293 0.860
0.000 0.000 0.000
-0.156 0.037 3.012

=====

# 8
Na20Zn8Sn11, relaxed, DFT GGA-PBE; total energy = -2.243 eV per atom; DFT formation energy = -0.18 eV/atom
1.0
-7.238 5.908 -0.247
-6.402 -0.664 -6.777
-19.632 -14.961 12.546
Na Sn Zn
40 22 16
Cartesian
-23.486 -10.770 4.741
-16.693 -8.002 8.436
-13.912 -7.208 5.795
-6.447 -2.909 -0.422
-14.974 -5.838 0.193
-19.735 -6.526 7.198
-13.936 -0.062 1.434
-10.759 1.108 2.900
-20.640 -8.349 4.248
-29.275 -10.060 6.114
-11.842 -2.038 3.415
-18.966 -12.228 9.511
-22.568 -8.909 7.636
-10.901 0.737 -0.579
-19.401 -2.191 0.043
-12.648 -3.207 -3.696
-23.194 -5.477 7.936
-14.260 2.144 -4.352
-7.524 0.336 -0.015
-3.964 0.080 -0.852
-9.117 -4.298 3.500
-26.507 -9.313 3.456
-15.772 -2.496 -0.865
-19.955 -11.773 3.990
-25.911 -8.778 6.805
-17.824 -7.616 1.617
-12.549 -5.643 2.697
-10.910 3.455 -3.587
-22.525 -11.896 10.377
-12.442 -2.870 -0.218
-21.794 -4.824 4.945
-24.199 -5.082 2.358
-16.898 0.782 -0.432
-11.492 -0.091 -4.264
-21.417 -12.488 6.943
-25.310 -9.642 10.292
-20.550 -5.440 1.468
-9.397 -2.015 -2.267
-8.445 3.720 -0.998
-17.329 -8.570 5.049
-13.834 -0.067 -1.847
-8.687 1.178 -3.043
-26.553 -11.912 5.673
-5.386 2.917 0.175
-3.642 -2.250 1.321
-23.763 -7.487 4.641
-22.454 -3.279 -0.209
-14.772 -8.312 2.867
-14.718 -3.365 2.256
-24.492 -11.635 7.831
-17.003 -1.459 2.061
-13.589 -9.301 8.195
-19.421 -9.793 7.228
-18.649 -5.606 4.008
-10.739 -7.069 5.105
-18.045 -4.984 -0.900
-16.619 -5.512 6.190
-28.366 -8.865 9.093
-19.756 0.151 -2.108
-9.528 -2.085 1.026
-29.570 -7.941 3.731
-6.352 -0.700 -3.026
-24.335 -13.756 5.811
-19.342 -2.989 3.230
-15.797 -5.735 3.421
-25.194 -5.696 5.841
-18.985 -3.593 6.008
-14.271 -4.053 4.950
-27.313 -11.376 8.401
-12.856 4.793 -5.993
-9.146 1.756 -5.782
-8.317 -0.842 -5.137
-6.017 2.102 -2.438
-23.768 -14.295 8.502
-14.896 -1.342 4.266
-8.499 -0.716 2.965
-17.434 -4.310 1.777
-20.477 -14.038 11.986